No. 1
VASP calculation (PBE) on a relaxed structure of LaMg2Ta.

Cell: 3.231 5.178 11.484 Å, 90.00 90.00 90.00°
Space group Immm (No. 71)
Unique sites:
La1 0.000 0.000 0.000
Mg1 0.000 0.500 0.222
Ta1 0.000 0.000 0.500

Values from the calculation:
The value obtained for the energy above the most stable polymorph in this dataset is 6.7 kJ per mole of atoms. For the energy relative to the elements, the calculation gives 0.307 eV/atom. As for the total magnetization: 0.00 μB/f.u.


No. 2
VASP calculation (PBE) on a relaxed structure of LaMgTa.

Cell: 6.160 16.028 3.145 Å, 90.00 98.97 90.00°
Space group C2/m (No. 12)
Unique sites:
La1 0.000 0.176 0.000
Mg1 0.000 0.384 0.500
Ta1 0.187 0.000 0.807

Values from the calculation:
The value obtained for the energy above the most stable polymorph in this dataset is 16.6 kJ per mole of atoms. For the energy relative to the elements, the calculation gives 0.297 eV/atom. As for the total magnetization: 0.00 μB/f.u.


N(E_F) values, unit states/eV/f.u., following the record order: 2.052, 3.213.